! BaCd2TeS (GGA-PBE, optimized geometry); values from VASP
! - symmetry = No. 123
! - ΔE_f (raw) (eV per formula unit) = 1.42
&SYSTEM
  ibrav = 0, nat = 5, ntyp = 4
/
ATOMIC_SPECIES
Ba 137.33 Ba.upf
Cd 112.41 Cd.upf
Te 127.60 Te.upf
S 32.06 S.upf
ATOMIC_POSITIONS crystal
Ba 0.0000 0.0000 0.0000
Cd 0.0000 0.5000 0.0000
Cd 0.5000 0.0000 0.0000
Te 0.5000 0.5000 0.5000
S 0.0000 0.0000 0.5000
CELL_PARAMETERS angstrom
7.0038 0.0000 0.0000
0.0000 7.0038 0.0000
0.0000 0.0000 5.6014